# 1
Here is a geometry-optimized NdInSn structure from OQMD via LeMat-Bulk. Energies are from PBE.

Calculated values
The value obtained for the electronic total energy is -4.02 eV/atom. The mass density comes out at 6.30 g/cm3. For the relative energy among the computed polymorphs, the calculation gives 24 meV per atom. The crystal system is cubic.

Unit cell a=5.203 b=5.203 c=5.203 alpha=60.00 beta=60.00 gamma=60.00
Positions (direct):
In1 0.250 0.250 0.250
Sn1 0.750 0.750 0.750
Nd1 0.000 0.000 0.000



# 2
Here is a geometry-optimized TbNdIn structure from OQMD via LeMat-Bulk. Energies are from PBE.

Calculated values
The value obtained for the electronic total energy is -4.14 eV/atom. The mass density comes out at 6.73 g/cm3. The crystal system is cubic.

Unit cell a=5.265 b=5.265 c=5.265 alpha=60.00 beta=60.00 gamma=60.00
Positions (direct):
In1 0.000 0.000 0.000
Nd1 0.250 0.250 0.250
Tb1 0.750 0.750 0.750



# 3
Here is a geometry-optimized TbNdIn5 structure from OQMD via LeMat-Bulk. Energies are from PBE.

Calculated values
The value obtained for the electronic total energy is -3.63 eV/atom. The mass density comes out at 7.55 g/cm3. The crystal system is tetragonal.

Unit cell a=4.726 b=4.726 c=8.643 alpha=90.00 beta=90.00 gamma=90.00
Positions (direct):
In1 0.000 0.500 0.267
In2 0.000 0.500 0.733
In3 0.500 0.000 0.733
In4 0.500 0.000 0.267
Tb1 0.000 0.000 0.500
Nd1 0.000 0.000 0.000
In5 0.500 0.500 0.000



# 4
Here is a geometry-optimized NdIn2Te structure from OQMD via LeMat-Bulk. Energies are from PBE.

Calculated values
The value obtained for the electronic total energy is -3.34 eV/atom. The mass density comes out at 6.18 g/cm3. The crystal system is tetragonal.

Unit cell a=4.570 b=4.570 c=6.449 alpha=90.00 beta=90.00 gamma=90.00
Site moments in Bohr magnetons follow the coordinates.
Positions (direct):
In1 0.000 0.000 0.000  0.00
Te1 0.500 0.500 0.000  0.01
In2 0.500 0.500 0.500  0.13
Nd1 0.000 0.000 0.500  0.22



# 5
Here is a geometry-optimized NdThIn structure from OQMD via LeMat-Bulk. Energies are from PBE.

Calculated values
The value obtained for the electronic total energy is -4.91 eV/atom. The mass density comes out at 7.75 g/cm3. For the relative energy among the computed polymorphs, the calculation gives 0 meV per atom. The crystal system is cubic.

Unit cell a=5.298 b=5.298 c=5.298 alpha=60.00 beta=60.00 gamma=60.00
Positions (direct):
Th1 0.750 0.750 0.750
Nd1 0.250 0.250 0.250
In1 0.000 0.000 0.000



# 6
Here is a geometry-optimized Nd2TlIn structure from OQMD via LeMat-Bulk. Energies are from PBE.

Calculated values
The value obtained for the electronic total energy is -4.10 eV/atom. The mass density comes out at 8.62 g/cm3. The crystal system is tetragonal.

Unit cell a=3.875 b=3.875 c=7.802 alpha=90.00 beta=90.00 gamma=90.00
Positions (direct):
Tl1 0.000 0.000 0.500
Nd1 0.500 0.500 0.752
Nd2 0.500 0.500 0.248
In1 0.000 0.000 0.000



# 7
Here is a geometry-optimized NdTmIn2 structure from OQMD via LeMat-Bulk. Energies are from PBE.

Calculated values
The value obtained for the electronic total energy is -4.14 eV/atom. The mass density comes out at 8.30 g/cm3. The crystal system is tetragonal.

Unit cell a=3.786 b=3.786 c=7.578 alpha=90.00 beta=90.00 gamma=90.00
Positions (direct):
In1 0.500 0.500 0.766
Nd1 0.000 0.000 0.500
In2 0.500 0.500 0.234
Tm1 0.000 0.000 0.000



# 8
Here is a geometry-optimized Nd4TmIn5 structure from OQMD via LeMat-Bulk. Energies are from PBE.

Calculated values
The value obtained for the electronic total energy is -4.20 eV/atom. The mass density comes out at 7.76 g/cm3. The crystal system is tetragonal.

Unit cell a=3.814 b=3.814 c=19.414 alpha=90.00 beta=90.00 gamma=90.00
Positions (direct):
Nd1 0.000 0.000 0.193
Nd2 0.000 0.000 0.602
Nd3 0.000 0.000 0.807
In1 0.500 0.500 0.910
In2 0.500 0.500 0.500
In3 0.500 0.500 0.090
In4 0.500 0.500 0.704
In5 0.500 0.500 0.296
Nd4 0.000 0.000 0.398
Tm1 0.000 0.000 0.000



# 9
Here is a geometry-optimized NdUIn structure from OQMD via LeMat-Bulk. Energies are from PBE.

Calculated values
The value obtained for the electronic total energy is -5.66 eV/atom. The mass density comes out at 8.22 g/cm3. For the relative energy among the computed polymorphs, the calculation gives 0 meV per atom. The crystal system is cubic.

Unit cell a=5.217 b=5.217 c=5.217 alpha=60.00 beta=60.00 gamma=60.00
Positions (direct):
U1 0.750 0.750 0.750
In1 0.000 0.000 0.000
Nd1 0.250 0.250 0.250



# 10
Here is a geometry-optimized NdYIn structure from OQMD via LeMat-Bulk. Energies are from PBE.

Calculated values
The value obtained for the electronic total energy is -4.78 eV/atom. The mass density comes out at 5.60 g/cm3. For the relative energy among the computed polymorphs, the calculation gives 0 meV per atom. The crystal system is cubic.

Unit cell a=5.266 b=5.266 c=5.266 alpha=60.00 beta=60.00 gamma=60.00
Positions (direct):
Nd1 0.250 0.250 0.250
Y1 0.750 0.750 0.750
In1 0.000 0.000 0.000



# 11
Here is a geometry-optimized NdY2In structure from OQMD via LeMat-Bulk. Energies are from PBE.

Calculated values
The value obtained for the electronic total energy is -5.38 eV/atom. The mass density comes out at 6.18 g/cm3. The crystal system is tetragonal.

Unit cell a=4.920 b=4.920 c=4.854 alpha=90.00 beta=90.00 gamma=90.00
Site moments in Bohr magnetons follow the coordinates.
Positions (direct):
Y1 0.000 0.500 0.500  0.08
In1 0.000 0.000 0.000  -0.01
Y2 0.500 0.000 0.500  0.07
Nd1 0.500 0.500 0.000  0.06



Number 4 is which compound?
NdIn2Te